No. 1
PBE Nd2ErAs4Rh3, relaxed; volume = 203 Å³/cell; M_tot = 0.00 μB/atom; ΔE_f = -9.73 eV per formula unit; theoretical density = 8.69 g/cm3
1.0
4.3272 0.0000 0.0000
0.0000 4.3272 0.0000
0.0000 0.0000 10.8546
Nd Er As Rh
2 1 4 3
direct
0.0000 0.5000 0.2226
0.5000 0.0000 0.7774
0.0000 0.0000 0.5000
0.0000 0.0000 0.0000
0.0000 0.5000 0.6607
0.5000 0.0000 0.3393
0.5000 0.5000 0.0000
0.0000 0.5000 0.8892
0.5000 0.0000 0.1108
0.5000 0.5000 0.5000

***

No. 2
PBE NdErAsS, relaxed; volume = 98 Å³/cell; M_tot = 0.10 μB/atom; formation energy without anion corrections = -1684 meV per atom; theoretical density = 7.10 g/cm3
1.0
2.0004 1.1550 7.0624
-2.0004 1.1550 7.0624
0.0000 -2.3099 7.0624
Nd Er As S
1 1 1 1
direct
0.0000 0.0000 0.0000
0.1729 0.1729 0.1729
0.5809 0.5809 0.5809
0.7594 0.7594 0.7594

***

No. 3
PBE NdErSbAs, relaxed; volume = 113 Å³/cell; M_tot = 0.00 μB/atom; formation energy without anion corrections = -1306 meV per atom; theoretical density = 7.46 g/cm3
1.0
2.1477 1.2400 7.0794
-2.1477 1.2400 7.0794
0.0000 -2.4799 7.0794
Nd Er Sb As
1 1 1 1
direct
0.0000 0.0000 0.0000
0.5112 0.5112 0.5112
0.7595 0.7595 0.7595
0.2519 0.2519 0.2519

***

No. 4
PBE NdErSc2As4, relaxed; volume = 186 Å³/cell; M_tot = 0.00 μB/atom; ΔE_f = -11.35 eV per formula unit; theoretical density = 6.27 g/cm3
1.0
6.9693 0.0000 0.0000
0.0000 4.0414 0.0000
-2.3404 0.0000 6.5890
Nd Er Sc As
1 1 2 4
direct
0.0000 0.0000 0.0000
0.0000 0.5000 0.5000
0.5000 0.0000 0.5000
0.5000 0.5000 0.0000
0.2664 0.0000 0.7500
0.2706 0.5000 0.2625
0.7294 0.5000 0.7375
0.7336 0.0000 0.2500

***

No. 5
PBE Nd2ErScAs4, relaxed; volume = 200 Å³/cell; M_tot = 0.00 μB/atom; ΔE_f = -11.62 eV per formula unit; theoretical density = 6.66 g/cm3
1.0
7.1420 0.0000 0.0000
0.0000 4.1400 0.0000
-2.3948 0.0000 6.7498
Nd Er Sc As
2 1 1 4
direct
0.0000 0.0000 0.0000
0.0000 0.5000 0.5000
0.5000 0.0000 0.5000
0.5000 0.5000 0.0000
0.2659 0.5000 0.2500
0.2697 0.0000 0.7619
0.7303 0.0000 0.2381
0.7341 0.5000 0.7500

***

No. 6
PBE NdEr2ScAs4, relaxed; volume = 193 Å³/cell; M_tot = 0.00 μB/atom; ΔE_f = -11.56 eV per formula unit; theoretical density = 7.07 g/cm3
1.0
7.0720 0.0000 0.0000
0.0000 4.0926 0.0000
-2.3601 0.0000 6.6782
Nd Er Sc As
1 2 1 4
direct
0.0000 0.0000 0.0000
0.0000 0.5000 0.5000
0.5000 0.0000 0.5000
0.5000 0.5000 0.0000
0.2617 0.0000 0.7538
0.2619 0.5000 0.2541
0.7383 0.0000 0.2462
0.7381 0.5000 0.7459

***

No. 7
PBE NdErAsSe, relaxed; volume = 102 Å³/cell; M_tot = 0.00 μB/atom; formation energy without anion corrections = -1701 meV per atom; theoretical density = 7.57 g/cm3
1.0
2.0738 1.1973 6.8480
-2.0738 1.1973 6.8480
0.0000 -2.3946 6.8480
Nd Er As Se
1 1 1 1
direct
0.0000 0.0000 0.0000
0.5080 0.5080 0.5080
0.2493 0.2493 0.2493
0.7587 0.7587 0.7587

***

No. 8
PBE Nd2SmEr3As6, relaxed; volume = 307 Å³/cell; M_tot = 0.00 μB/atom; ΔE_f = -18.13 eV per formula unit; theoretical density = 7.51 g/cm3
1.0
9.0807 -2.0858 0.0000
9.0807 2.0858 0.0000
-1.8991 0.0000 8.1127
Nd Sm Er As
2 1 3 6
direct
0.1664 0.1664 0.3327
0.8336 0.8336 0.6673
0.5000 0.5000 0.0000
0.1668 0.1668 0.8334
0.5000 0.5000 0.5000
0.8332 0.8332 0.1666
0.0027 0.0027 0.7460
0.3317 0.3317 0.9239
0.3359 0.3359 0.4103
0.6641 0.6641 0.5897
0.6683 0.6683 0.0761
0.9973 0.9973 0.2540

***

No. 9
PBE NdSmEr2As4, relaxed; volume = 204 Å³/cell; M_tot = 0.00 μB/atom; ΔE_f = -12.11 eV per formula unit; theoretical density = 7.55 g/cm3
1.0
7.2067 0.0000 0.0000
0.0000 4.1672 0.0000
-2.4062 0.0000 6.8002
Nd Sm Er As
1 1 2 4
direct
0.0000 0.0000 0.0000
0.0000 0.5000 0.5000
0.5000 0.0000 0.5000
0.5000 0.5000 0.0000
0.2594 0.0000 0.7516
0.2607 0.5000 0.2551
0.7393 0.5000 0.7449
0.7406 0.0000 0.2484

***

No. 10
PBE NdSm2Er3As6, relaxed; volume = 305 Å³/cell; M_tot = 0.00 μB/atom; ΔE_f = -18.18 eV per formula unit; theoretical density = 7.60 g/cm3
1.0
9.0608 -2.0808 0.0000
9.0608 2.0808 0.0000
-1.8976 0.0000 8.0942
Nd Sm Er As
1 2 3 6
direct
0.0000 0.0000 0.0000
0.3330 0.3330 0.6663
0.6670 0.6670 0.3337
0.0000 0.0000 0.5000
0.3335 0.3335 0.1670
0.6665 0.6665 0.8330
0.1648 0.1648 0.5878
0.1694 0.1694 0.0792
0.4983 0.4983 0.2571
0.5017 0.5017 0.7429
0.8306 0.8306 0.9208
0.8352 0.8352 0.4122

***

No. 11
PBE NdSm2ErAs4, relaxed; volume = 209 Å³/cell; M_tot = 0.00 μB/atom; ΔE_f = -12.11 eV per formula unit; theoretical density = 7.24 g/cm3
1.0
7.2681 0.0000 0.0000
0.0000 4.2004 0.0000
-2.4230 0.0000 6.8541
Nd Sm Er As
1 2 1 4
direct
0.0000 0.0000 0.0000
0.0000 0.5000 0.5000
0.5000 0.0000 0.5000
0.5000 0.5000 0.0000
0.2551 0.5000 0.2496
0.2565 0.0000 0.7543
0.7435 0.0000 0.2457
0.7449 0.5000 0.7504

***

No. 12
PBE Tb3NdEr2As6, relaxed; volume = 302 Å³/cell; M_tot = 0.00 μB/atom; ΔE_f = -18.26 eV per formula unit; theoretical density = 7.73 g/cm3
1.0
3.5887 -6.2151 0.0000
3.5887 6.2151 0.0000
-2.3919 0.0000 6.7675
Tb Nd Er As
3 1 2 6
direct
0.0000 0.0000 0.0000
0.3349 0.6651 0.0000
0.6651 0.3349 0.0000
0.5000 0.5000 0.5000
0.1672 0.8328 0.5000
0.8328 0.1672 0.5000
0.0768 0.4164 0.2493
0.2435 0.2435 0.7496
0.4164 0.0768 0.2493
0.5836 0.9232 0.7507
0.7565 0.7565 0.2504
0.9232 0.5836 0.7507